No. 1
! La2Sm3ThTe6 GGA-PBE relaxed; values from VASP
&SYSTEM
  ibrav = 0, nat = 12, ntyp = 4
/
ATOMIC_SPECIES
Te 127.60 Te.upf
Sm 150.36 Sm.upf
La 138.91 La.upf
Th 232.04 Th.upf
ATOMIC_POSITIONS crystal
Te 0.3340 0.4114 0.6681
Sm 0.8327 0.1646 0.6655
La 0.8360 0.6704 0.6721
Te 0.6660 0.5886 0.3319
Sm 0.1673 0.8354 0.3345
Sm 0.5000 0.5000 0.0000
Th 0.5000 0.0000 0.0000
La 0.1640 0.3296 0.3279
Te 0.3325 0.9227 0.6651
Te 0.9963 0.2515 0.9925
Te 0.0037 0.7485 0.0075
Te 0.6675 0.0773 0.3349
CELL_PARAMETERS angstrom
4.4846 0.0000 0.0000
0.0000 9.0020 0.2953
-2.2423 -2.6206 9.4432
! - E (eV per atom) = -5.576
! - Fermi-level density of states (states/eV per cell) = 8.53
! - formation energy from raw total energies (meV/atom) = -1386
! - size of the total moment (Bohr magnetons per cell) = 0.0

=====

No. 2
! TaGaAu GGA-PBE relaxed; values from VASP
&SYSTEM
  ibrav = 0, nat = 3, ntyp = 3
/
ATOMIC_SPECIES
Au 196.97 Au.upf
Ga 69.72 Ga.upf
Ta 180.95 Ta.upf
ATOMIC_POSITIONS crystal
Au 0.4991 0.3333 0.6667
Ga 0.5010 0.6667 0.3333
Ta 0.9999 0.0000 0.0000
CELL_PARAMETERS angstrom
-1.5448 -0.1259 -2.5507
-0.6310 -4.3560 0.5971
-2.9302 2.9127 1.6309
! - E (eV per atom) = -6.110
! - energy relative to the elements (eV per atom) = -0.06
! - Fermi-level density of states (states/eV per cell) = 2.13
! - size of the total moment (Bohr magnetons per cell) = 0.0

=====

No. 3
! Tm12In5Sb2 GGA-PBE relaxed; values from VASP
&SYSTEM
  ibrav = 0, nat = 19, ntyp = 3
/
ATOMIC_SPECIES
Tm 168.93 Tm.upf
Sb 121.76 Sb.upf
In 114.82 In.upf
ATOMIC_POSITIONS crystal
Tm 0.3498 0.2025 0.6130
Tm 0.4607 0.9215 0.7235
Tm 0.8719 0.7439 0.0286
Sb 0.2334 0.0000 0.0000
In 0.6710 0.3419 0.8316
Tm 0.1281 0.2561 0.9714
Sb 0.7666 0.0000 0.0000
Tm 0.0889 0.6106 0.8182
In 0.3290 0.6581 0.1684
Tm 0.5217 0.6106 0.8182
In 0.7859 0.5718 0.5040
Tm 0.5393 0.0785 0.2765
Tm 0.4783 0.3894 0.1818
Tm 0.9111 0.3894 0.1818
Tm 0.8527 0.2025 0.6130
In 0.2141 0.4282 0.4960
Tm 0.6502 0.7975 0.3870
Tm 0.1473 0.7975 0.3870
In 0.0000 0.0000 0.5000
CELL_PARAMETERS angstrom
-7.3257 -1.0977 7.5279
4.5483 -7.3937 -4.0604
4.2794 1.6445 4.4043
! - E (eV per atom) = -4.305
! - Fermi-level density of states (states/eV per cell) = 17.72
! - formation energy from raw total energies (meV/atom) = -327
! - size of the total moment (Bohr magnetons per cell) = 0.0

=====

No. 4
! Na4Hf3PaSe8 GGA-PBE relaxed; values from VASP
&SYSTEM
  ibrav = 0, nat = 16, ntyp = 4
/
ATOMIC_SPECIES
Se 78.96 Se.upf
Na 22.99 Na.upf
Pa 231.04 Pa.upf
Hf 178.49 Hf.upf
ATOMIC_POSITIONS crystal
Se 0.2501 0.7298 0.9797
Na 0.0000 0.0000 0.5000
Na 0.5000 0.0000 0.5000
Se 0.2501 0.7298 0.5002
Se 0.2705 0.2702 0.0203
Se 0.2602 0.2805 0.5203
Se 0.7499 0.2702 0.0203
Pa 0.0000 0.5000 0.0000
Se 0.7398 0.7195 0.4797
Na 0.0000 0.0000 0.0000
Se 0.7499 0.2702 0.4998
Hf 0.5000 0.5000 0.0000
Se 0.7295 0.7298 0.9797
Hf 0.0000 0.5000 0.5000
Hf 0.5000 0.5000 0.5000
Na 0.5000 0.0000 0.0000
CELL_PARAMETERS angstrom
7.7058 0.0000 0.0000
0.0000 8.4918 0.5494
-3.8529 -3.8490 5.4522
! - E (eV per atom) = -5.781
! - Fermi-level density of states (states/eV per cell) = 7.94
! - formation energy from raw total energies (meV/atom) = -1249
! - size of the total moment (Bohr magnetons per cell) = 1.7

=====

No. 5
! CsY2Zr2O7 GGA-PBE relaxed; values from VASP
&SYSTEM
  ibrav = 0, nat = 12, ntyp = 4
/
ATOMIC_SPECIES
Y 88.91 Y.upf
Zr 91.22 Zr.upf
O 16.00 O.upf
Cs 132.91 Cs.upf
ATOMIC_POSITIONS crystal
Y 0.2563 0.7534 0.5126
Y 0.7437 0.2407 0.4874
Zr 0.6096 0.6401 0.2191
O 0.2702 0.2650 0.5404
O 0.3774 0.8461 0.7549
O 0.7298 0.7246 0.4596
O 0.8717 0.3663 0.7435
O 0.1283 0.6229 0.2565
O 0.6226 0.0913 0.2451
O 0.5000 0.5085 0.0000
Cs 0.0000 0.0199 0.0000
Zr 0.3904 0.4209 0.7809
CELL_PARAMETERS angstrom
4.3826 0.0000 0.0000
0.0000 4.6382 -0.0001
-2.1913 -2.3194 9.3160
! - E (eV per atom) = -8.424
! - Fermi-level density of states (states/eV per cell) = 1.84
! - formation energy from raw total energies (meV/atom) = -2959
! - size of the total moment (Bohr magnetons per cell) = 0.0

=====

No. 6
! ZrHg2Ge GGA-PBE relaxed; values from VASP
&SYSTEM
  ibrav = 0, nat = 8, ntyp = 3
/
ATOMIC_SPECIES
Zr 91.22 Zr.upf
Ge 72.64 Ge.upf
Hg 200.59 Hg.upf
ATOMIC_POSITIONS crystal
Zr 0.0000 0.0000 0.0000
Zr 0.7500 0.2500 0.5000
Ge 0.2500 0.7500 0.5000
Hg 0.1476 0.6250 0.2500
Ge 0.5000 0.5000 0.0000
Hg 0.3750 0.3976 0.7500
Hg 0.8750 0.8524 0.7500
Hg 0.6024 0.1250 0.2500
CELL_PARAMETERS angstrom
7.9048 0.0000 0.0000
0.0000 7.9048 0.0000
3.9524 3.9524 2.8591
! - E (eV per atom) = -3.413
! - energy relative to the elements (eV per atom) = 0.03
! - Fermi-level density of states (states/eV per cell) = 1.97
! - size of the total moment (Bohr magnetons per cell) = 0.0

=====

No. 7
! Na2AlTl2O6 GGA-PBE relaxed; values from VASP
&SYSTEM
  ibrav = 0, nat = 11, ntyp = 4
/
ATOMIC_SPECIES
O 16.00 O.upf
Al 26.98 Al.upf
Tl 204.38 Tl.upf
Na 22.99 Na.upf
ATOMIC_POSITIONS crystal
O 0.2236 0.2236 0.3105
Al 0.0000 0.0000 0.5000
O 0.0530 0.3498 0.7038
Tl 0.6651 0.3349 0.5000
O 0.7764 0.7764 0.6895
O 0.9470 0.6502 0.2962
O 0.6502 0.9470 0.2962
Na 0.8353 0.1647 0.0000
Na 0.1647 0.8353 0.0000
O 0.3498 0.0530 0.7038
Tl 0.3349 0.6651 0.5000
CELL_PARAMETERS angstrom
5.5509 0.0846 0.0478
-2.6700 4.8673 0.0478
-1.0362 -1.7810 5.5789
! - E (eV per atom) = -5.038
! - Fermi-level density of states (states/eV per cell) = 3.49
! - formation energy from raw total energies (meV/atom) = -1324
! - size of the total moment (Bohr magnetons per cell) = 1.1

=====

No. 8
! TlReSi2 GGA-PBE relaxed; values from VASP
&SYSTEM
  ibrav = 0, nat = 4, ntyp = 3
/
ATOMIC_SPECIES
Si 28.09 Si.upf
Re 186.21 Re.upf
Tl 204.38 Tl.upf
ATOMIC_POSITIONS crystal
Si 0.9706 0.9706 0.0847
Re 0.2651 0.2651 0.1193
Si 0.6768 0.6768 0.8571
Tl 0.5874 0.5874 0.4389
CELL_PARAMETERS angstrom
-2.7015 -2.9729 -2.0420
-1.1537 -4.3175 0.5783
-4.3016 2.4080 3.7764
! - E (eV per atom) = -6.070
! - Fermi-level density of states (states/eV per cell) = 0.13
! - formation energy from raw total energies (meV/atom) = 345
! - size of the total moment (Bohr magnetons per cell) = 0.0

=====

No. 9
! CaSi2Br GGA-PBE relaxed; values from VASP
&SYSTEM
  ibrav = 0, nat = 8, ntyp = 3
/
ATOMIC_SPECIES
Ca 40.08 Ca.upf
Br 79.90 Br.upf
Si 28.09 Si.upf
ATOMIC_POSITIONS crystal
Ca 0.5000 0.5000 0.0000
Br 0.0000 0.0000 0.0000
Si 0.8750 0.8695 0.7500
Ca 0.2500 0.7500 0.5000
Br 0.7500 0.2500 0.5000
Si 0.3750 0.3805 0.7500
Si 0.1305 0.6250 0.2500
Si 0.6195 0.1250 0.2500
CELL_PARAMETERS angstrom
-4.0610 8.7328 0.3670
-4.3018 -2.3492 8.2984
-2.1564 4.0788 5.6336
! - E (eV per atom) = -3.442
! - Fermi-level density of states (states/eV per cell) = 6.19
! - formation energy from raw total energies (meV/atom) = 188
! - size of the total moment (Bohr magnetons per cell) = 0.0

=====

No. 10
! YBiAu GGA-PBE relaxed; values from VASP
&SYSTEM
  ibrav = 0, nat = 6, ntyp = 3
/
ATOMIC_SPECIES
Y 88.91 Y.upf
Au 196.97 Au.upf
Bi 208.98 Bi.upf
ATOMIC_POSITIONS crystal
Y 0.7952 0.7952 0.7422
Au 0.7571 0.2429 0.0000
Bi 0.6895 0.6895 0.3178
Bi 0.3105 0.3105 0.6822
Y 0.2047 0.2047 0.2578
Au 0.2429 0.7571 0.0000
CELL_PARAMETERS angstrom
-3.9269 -2.4045 -0.0468
2.0959 -3.3785 -2.3231
1.5804 -4.3992 6.0638
! - E (eV per atom) = -5.159
! - energy relative to the elements (eV per atom) = -0.62
! - Fermi-level density of states (states/eV per cell) = 2.01
! - size of the total moment (Bohr magnetons per cell) = 0.0

=====

No. 11
! TbY3Er3Te8 GGA-PBE relaxed; values from VASP
&SYSTEM
  ibrav = 0, nat = 15, ntyp = 4
/
ATOMIC_SPECIES
Te 127.60 Te.upf
Y 88.91 Y.upf
Tb 158.93 Tb.upf
Er 167.26 Er.upf
ATOMIC_POSITIONS crystal
Te 0.2569 0.9975 0.7544
Te 0.7431 0.0025 0.2456
Y 0.5000 0.5000 0.0000
Te 0.2513 0.5025 0.2537
Y 0.0000 0.5000 0.0000
Te 0.2595 0.0025 0.2456
Te 0.7431 0.4862 0.2456
Tb 0.0000 0.0000 0.5000
Te 0.7405 0.9975 0.7544
Er 0.5000 0.0000 0.5000
Er 0.0000 0.5000 0.5000
Er 0.5000 0.5000 0.5000
Te 0.7487 0.4975 0.7463
Te 0.2569 0.5138 0.7544
Y 0.0000 0.0000 0.0000
CELL_PARAMETERS angstrom
8.6555 0.0000 0.0000
-4.3278 7.4960 -0.0255
0.0000 -4.9736 7.0827
! - E (eV per atom) = -5.543
! - Fermi-level density of states (states/eV per cell) = 6.83
! - formation energy from raw total energies (meV/atom) = -1354
! - size of the total moment (Bohr magnetons per cell) = 0.0

=====

No. 12
! Li12Cu6Ni GGA-PBE relaxed; values from VASP
&SYSTEM
  ibrav = 0, nat = 19, ntyp = 3
/
ATOMIC_SPECIES
Li 6.94 Li.upf
Cu 63.55 Cu.upf
Ni 58.69 Ni.upf
ATOMIC_POSITIONS crystal
Li 0.5274 0.4243 0.8080
Li 0.3755 0.0320 0.1483
Cu 0.7398 0.2510 0.1071
Cu 0.2602 0.7490 0.8929
Cu 0.2510 0.1071 0.7398
Li 0.1483 0.3755 0.0320
Li 0.5757 0.1920 0.4726
Cu 0.7490 0.8929 0.2602
Li 0.4726 0.5757 0.1920
Li 0.1920 0.4726 0.5757
Li 0.8517 0.6245 0.9680
Li 0.8080 0.5274 0.4243
Ni 0.0000 0.0000 0.0000
Cu 0.1071 0.7398 0.2510
Li 0.4243 0.8080 0.5274
Li 0.6245 0.9680 0.8517
Li 0.0320 0.1483 0.3755
Li 0.9680 0.8517 0.6245
Cu 0.8929 0.2602 0.7490
CELL_PARAMETERS angstrom
6.5446 -0.1861 0.3403
0.3133 6.5397 0.3403
-0.2009 -0.1861 6.5503
! - E (eV per atom) = -2.828
! - energy relative to the elements (eV per atom) = -0.02
! - Fermi-level density of states (states/eV per cell) = 7.00
! - size of the total moment (Bohr magnetons per cell) = 0.0

=====

> Which value of E does entry 4 give?

-5.781 eV per atom